No. 1
Compound: B2Mo
Source: Alexandria
Functional: PBE-GGA
Structure: relaxed

Space-group type: P6/mmm, No. 191
Crystal system: hexagonal
Calculated formation energy: -0.286 eV per atom
Total moment: 0.0 μB/f.u.

Cell and atoms, written as extended XYZ:
```
3
Lattice="3.029 0.000 0.000 -1.514 2.623 0.000 0.000 0.000 3.350" Properties=species:S:1:pos:R:3 pbc="T T T"
B 0.000 1.749 0.000
B 1.514 0.874 0.000
Mo 0.000 0.000 1.675
```

=====

No. 2
Compound: BMo
Source: Alexandria
Functional: PBE-GGA
Structure: relaxed

Space-group type: P6_3/m, No. 176
Crystal system: hexagonal
Calculated formation energy: 0.031 eV per atom
Total moment: 0.0 μB/f.u.
Energy above the lowest structure with this stoichiometry: 540 meV per atom

Cell and atoms, written as extended XYZ:
```
12
Lattice="6.362 0.000 0.000 -3.181 5.509 0.000 0.000 0.000 4.357" Properties=species:S:1:pos:R:3 pbc="T T T"
B -1.790 3.832 1.089
B 0.757 2.043 1.089
B 2.148 0.366 3.268
B 1.033 5.143 1.089
B 2.424 3.466 3.268
B 4.971 1.677 3.268
Mo -1.819 3.811 3.268
Mo 0.789 2.029 3.268
Mo 2.152 0.331 1.089
Mo 1.029 5.179 3.268
Mo 2.392 3.481 1.089
Mo 4.999 1.698 1.089
```

=====

No. 3
Compound: B5Mo2
Source: Alexandria
Functional: PBE-GGA
Structure: relaxed

Space-group type: P6_3/mmc, No. 194
Crystal system: hexagonal
Calculated formation energy: 0.421 eV per atom
Total moment: 0.0 μB/f.u.
Energy above the lowest structure with this stoichiometry: 361 meV per atom

Cell and atoms, written as extended XYZ:
```
14
Lattice="3.880 0.000 0.000 -1.940 3.360 0.000 0.000 0.000 10.410" Properties=species:S:1:pos:R:3 pbc="T T T"
B -0.970 1.680 0.000
B -0.970 1.680 5.205
B 0.000 2.240 1.680
B 0.000 2.240 3.526
B 1.940 0.000 0.000
B 1.940 0.000 5.205
B 0.970 1.680 0.000
B 0.970 1.680 5.205
B 1.940 1.120 6.885
B 1.940 1.120 8.731
Mo 0.000 0.000 1.364
Mo 0.000 0.000 3.841
Mo 0.000 0.000 6.569
Mo 0.000 0.000 9.047
```

=====

No. 4
Compound: BMoN2
Source: Alexandria
Functional: PBE-GGA
Structure: relaxed

Space-group type: I-42d, No. 122
E_form (uncorrected): -19.0 kJ/mol of atoms
Crystal system: tetragonal
Total moment: 0.0 μB/f.u.

Cell and atoms, written as extended XYZ:
```
8
Lattice="-2.233 2.233 3.538 2.233 -2.233 3.538 2.233 2.233 -3.538" Properties=species:S:1:pos:R:3 pbc="T T T"
B 0.000 0.000 0.000
B 0.000 2.233 1.769
Mo 2.233 0.000 1.769
Mo 0.000 0.000 3.538
N 3.349 0.685 -0.884
N 0.685 1.116 0.884
N -1.116 1.548 2.653
N 1.548 1.116 4.422
```

=====

No. 5
Compound: BMoN
Source: Alexandria
Functional: PBE-GGA
Structure: relaxed

Space-group type: R-3m, No. 166
E_form (uncorrected): -0.1 kJ/mol of atoms
Crystal system: trigonal
Total moment: 0.0 μB/f.u.

Cell and atoms, written as extended XYZ:
```
6
Lattice="1.506 0.870 8.729 -1.506 0.870 8.729 0.000 -1.739 8.729" Properties=species:S:1:pos:R:3 pbc="T T T"
B 0.000 0.000 4.376
B 0.000 0.000 21.811
Mo 0.000 0.000 11.304
Mo 0.000 0.000 14.882
N 0.000 0.000 7.154
N 0.000 0.000 19.033
```

=====

No. 6
Compound: BMoN2
Source: Alexandria
Functional: PBE-GGA
Structure: relaxed

Space-group type: R-3m, No. 166
E_form (uncorrected): 76.2 kJ/mol of atoms
Crystal system: trigonal
Total moment: 0.0 μB/f.u.

Cell and atoms, written as extended XYZ:
```
4
Lattice="1.366 0.789 5.643 -1.366 0.789 5.643 0.000 -1.577 5.643" Properties=species:S:1:pos:R:3 pbc="T T T"
B 0.000 0.000 0.000
Mo 0.000 0.000 8.465
N 0.000 0.000 6.495
N 0.000 0.000 10.435
```

=====

No. 7
Compound: BMo2N
Source: Alexandria
Functional: PBE-GGA
Structure: relaxed

Space-group type: I-42d, No. 122
E_form (uncorrected): 21.5 kJ/mol of atoms
Crystal system: tetragonal
Total moment: 0.0 μB/f.u.
Energy above the lowest structure with this stoichiometry: 0 meV per atom

Cell and atoms, written as extended XYZ:
```
8
Lattice="-2.343 2.343 4.827 2.343 -2.343 4.827 2.343 2.343 -4.827" Properties=species:S:1:pos:R:3 pbc="T T T"
B 0.000 0.000 0.000
B 0.000 2.343 2.414
Mo 1.171 -1.093 3.620
Mo 1.250 1.171 1.207
Mo 1.171 3.435 -1.207
Mo 1.093 1.171 6.034
N 2.343 0.000 2.414
N 0.000 0.000 4.827
```

=====

No. 8
Compound: B3MoN3
Source: Alexandria
Functional: PBE-GGA
Structure: relaxed

Space-group type: Pm-3n, No. 223
E_form (uncorrected): 62.4 kJ/mol of atoms
Crystal system: cubic
Total moment: 2.6 μB/f.u.

Cell and atoms, written as extended XYZ:
```
14
Lattice="4.703 0.000 0.000 0.000 4.703 0.000 0.000 0.000 4.703" Properties=species:S:1:pos:R:3 pbc="T T T"
B 0.000 1.176 2.352
B 0.000 3.527 2.352
B 1.176 2.352 0.000
B 2.352 0.000 1.176
B 2.352 0.000 3.527
B 3.527 2.352 0.000
Mo 0.000 0.000 0.000
Mo 2.352 2.352 2.352
N 0.000 2.352 1.176
N 0.000 2.352 3.527
N 1.176 0.000 2.352
N 2.352 1.176 0.000
N 2.352 3.527 0.000
N 3.527 0.000 2.352
```

=====

No. 9
Compound: BMo2N
Source: Alexandria
Functional: PBE-GGA
Structure: relaxed

Space-group type: Fm-3m, No. 225
E_form (uncorrected): 33.4 kJ/mol of atoms
Crystal system: cubic
Total moment: 0.0 μB/f.u.
Energy above the lowest structure with this stoichiometry: 123 meV per atom

Cell and atoms, written as extended XYZ:
```
4
Lattice="0.000 2.750 2.750 2.750 0.000 2.750 2.750 2.750 0.000" Properties=species:S:1:pos:R:3 pbc="T T T"
B 0.000 0.000 0.000
Mo 1.375 1.375 1.375
Mo 4.125 4.125 4.125
N 2.750 2.750 2.750
```

=====

No. 10
Compound: BMoN2
Source: Alexandria
Functional: PBE-GGA
Structure: relaxed

Space-group type: R-3m, No. 166
E_form (uncorrected): -29.7 kJ/mol of atoms
Crystal system: trigonal
Total moment: 0.0 μB/f.u.

Cell and atoms, written as extended XYZ:
```
4
Lattice="1.470 0.849 5.375 -1.470 0.849 5.375 0.000 -1.697 5.375" Properties=species:S:1:pos:R:3 pbc="T T T"
B 0.000 0.000 0.000
Mo 0.000 0.000 8.062
N 0.000 0.000 1.343
N 0.000 0.000 14.782
```

=====

No. 11
Compound: Pm2B2MoN6
Source: Alexandria
Functional: PBE-GGA
Structure: relaxed

Space-group type: R-3m, No. 166
E_form (uncorrected): -85.9 kJ/mol of atoms
Crystal system: trigonal
Total moment: 0.0 μB/f.u.

Cell and atoms, written as extended XYZ:
```
11
Lattice="2.632 1.520 5.118 -2.632 1.520 5.118 0.000 -3.039 5.118" Properties=species:S:1:pos:R:3 pbc="T T T"
Pm 0.000 0.000 3.388
Pm 0.000 0.000 11.966
B 0.000 0.000 6.383
B 0.000 0.000 8.971
Mo 0.000 0.000 0.000
N 0.000 -1.448 6.363
N -1.254 0.724 6.363
N -1.254 -0.724 8.991
N 1.254 0.724 6.363
N 1.254 -0.724 8.991
N 0.000 1.448 8.991
```

=====

No. 12
Compound: BMoPtN2
Source: Alexandria
Functional: PBE-GGA
Structure: relaxed

Space-group type: P4/mmm, No. 123
E_form (uncorrected): 128.2 kJ/mol of atoms
Crystal system: tetragonal
Total moment: 0.0 μB/f.u.

Cell and atoms, written as extended XYZ:
```
5
Lattice="3.863 0.000 0.000 0.000 3.863 0.000 0.000 0.000 4.478" Properties=species:S:1:pos:R:3 pbc="T T T"
B 0.000 0.000 0.000
Mo 0.000 0.000 2.239
Pt 1.931 1.931 0.000
N 0.000 1.931 2.239
N 1.931 0.000 2.239
```

=====

No. 13
Compound: BMoSN2
Source: Alexandria
Functional: PBE-GGA
Structure: relaxed

Space-group type: P4/mmm, No. 123
E_form (uncorrected): 119.7 kJ/mol of atoms
Crystal system: tetragonal
Total moment: 0.0 μB/f.u.
Energy above the lowest structure with this stoichiometry: 21 meV per atom

Cell and atoms, written as extended XYZ:
```
5
Lattice="3.453 0.000 0.000 0.000 3.453 0.000 0.000 0.000 4.127" Properties=species:S:1:pos:R:3 pbc="T T T"
B 0.000 0.000 0.000
Mo 1.727 1.727 2.063
S 0.000 0.000 2.063
N 0.000 1.727 0.000
N 1.727 0.000 0.000
```

=====

No. 14
Compound: BMoSN2
Source: Alexandria
Functional: PBE-GGA
Structure: relaxed

Space-group type: P4/mmm, No. 123
E_form (uncorrected): 117.7 kJ/mol of atoms
Crystal system: tetragonal
Total moment: 0.0 μB/f.u.
Energy above the lowest structure with this stoichiometry: 0 meV per atom

Cell and atoms, written as extended XYZ:
```
5
Lattice="3.843 0.000 0.000 0.000 3.843 0.000 0.000 0.000 5.037" Properties=species:S:1:pos:R:3 pbc="T T T"
B 0.000 0.000 0.000
Mo 1.922 1.922 2.518
S 1.922 1.922 0.000
N 0.000 1.922 2.518
N 1.922 0.000 2.518
```

=====

No. 15
Compound: ZnBMoN2
Source: Alexandria
Functional: PBE-GGA
Structure: relaxed

Space-group type: P4/mmm, No. 123
E_form (uncorrected): 133.8 kJ/mol of atoms
Crystal system: tetragonal
Total moment: 0.0 μB/f.u.

Cell and atoms, written as extended XYZ:
```
5
Lattice="3.854 0.000 0.000 0.000 3.854 0.000 0.000 0.000 5.307" Properties=species:S:1:pos:R:3 pbc="T T T"
Zn 0.000 0.000 0.000
B 1.927 1.927 0.000
Mo 0.000 0.000 2.653
N 0.000 1.927 2.653
N 1.927 0.000 2.653
```

=====

No. 16
Compound: NaBMo3
Source: Alexandria
Functional: PBE-GGA
Structure: relaxed

Space-group type: Pm-3m, No. 221
Crystal system: cubic
Calculated formation energy: 0.741 eV per atom
Total moment: 0.0 μB/f.u.
Energy above the lowest structure with this stoichiometry: 0 meV per atom

Cell and atoms, written as extended XYZ:
```
5
Lattice="4.284 0.000 0.000 0.000 4.284 0.000 0.000 0.000 4.284" Properties=species:S:1:pos:R:3 pbc="T T T"
Na 0.000 0.000 0.000
B 2.142 2.142 2.142
Mo 0.000 2.142 2.142
Mo 2.142 0.000 2.142
Mo 2.142 2.142 0.000
```

=====

No. 17
Compound: NaB2Mo
Source: Alexandria
Functional: PBE-GGA
Structure: relaxed

Space-group type: Fm-3m, No. 225
Crystal system: cubic
Calculated formation energy: 1.151 eV per atom
Total moment: 0.0 μB/f.u.
Energy above the lowest structure with this stoichiometry: 156 meV per atom

Cell and atoms, written as extended XYZ:
```
4
Lattice="0.000 2.829 2.829 2.829 0.000 2.829 2.829 2.829 0.000" Properties=species:S:1:pos:R:3 pbc="T T T"
Na 0.000 0.000 0.000
B 1.415 1.415 1.415
B 4.244 4.244 4.244
Mo 2.829 2.829 2.829
```

=====

No. 18
Compound: NaBMo3
Source: Alexandria
Functional: PBE-GGA
Structure: relaxed

Space-group type: Pm-3m, No. 221
Crystal system: cubic
Calculated formation energy: 3.341 eV per atom
Total moment: 1.9 μB/f.u.
Energy above the lowest structure with this stoichiometry: 2600 meV per atom

Cell and atoms, written as extended XYZ:
```
5
Lattice="4.444 0.000 0.000 0.000 4.444 0.000 0.000 0.000 4.444" Properties=species:S:1:pos:R:3 pbc="T T T"
Na 0.000 0.000 0.000
B 2.222 2.222 2.222
Mo 0.000 0.000 2.222
Mo 0.000 2.222 0.000
Mo 2.222 0.000 0.000
```

=====

No. 19
Compound: NaB2Mo
Source: Alexandria
Functional: PBE-GGA
Structure: relaxed

Space-group type: I-42d, No. 122
Crystal system: tetragonal
Calculated formation energy: 0.995 eV per atom
Total moment: 0.0 μB/f.u.
Energy above the lowest structure with this stoichiometry: 0 meV per atom

Cell and atoms, written as extended XYZ:
```
8
Lattice="-3.103 3.103 3.546 3.103 -3.103 3.546 3.103 3.103 -3.546" Properties=species:S:1:pos:R:3 pbc="T T T"
Na 0.000 0.000 0.000
Na 0.000 3.103 1.773
B 1.551 -1.003 2.659
B 2.099 1.551 0.886
B 1.551 4.106 -0.886
B 1.003 1.551 4.432
Mo 3.103 0.000 1.773
Mo 0.000 0.000 3.546
```

=====

No. 20
Compound: NaB3Mo
Source: Alexandria
Functional: PBE-GGA
Structure: relaxed

Space-group type: Pm-3m, No. 221
Crystal system: cubic
Calculated formation energy: 2.866 eV per atom
Total moment: 0.0 μB/f.u.
Energy above the lowest structure with this stoichiometry: 1942 meV per atom

Cell and atoms, written as extended XYZ:
```
5
Lattice="3.946 0.000 0.000 0.000 3.946 0.000 0.000 0.000 3.946" Properties=species:S:1:pos:R:3 pbc="T T T"
Na 0.000 0.000 0.000
B 0.000 0.000 1.973
B 0.000 1.973 0.000
B 1.973 0.000 0.000
Mo 1.973 1.973 1.973
```

=====

No. 21
Compound: NaB3Mo
Source: Alexandria
Functional: PBE-GGA
Structure: relaxed

Space-group type: Pm-3m, No. 221
Crystal system: cubic
Calculated formation energy: 0.924 eV per atom
Total moment: 0.0 μB/f.u.
Energy above the lowest structure with this stoichiometry: 0 meV per atom

Cell and atoms, written as extended XYZ:
```
5
Lattice="4.213 0.000 0.000 0.000 4.213 0.000 0.000 0.000 4.213" Properties=species:S:1:pos:R:3 pbc="T T T"
Na 0.000 0.000 0.000
B 0.000 2.106 2.106
B 2.106 0.000 2.106
B 2.106 2.106 0.000
Mo 2.106 2.106 2.106
```

=====

No. 22
Compound: NaBMo2
Source: Alexandria
Functional: PBE-GGA
Structure: relaxed

Space-group type: I-42d, No. 122
Crystal system: tetragonal
Calculated formation energy: 1.361 eV per atom
Total moment: 0.0 μB/f.u.

Cell and atoms, written as extended XYZ:
```
8
Lattice="-2.216 2.216 7.772 2.216 -2.216 7.772 2.216 2.216 -7.772" Properties=species:S:1:pos:R:3 pbc="T T T"
Na 0.000 0.000 0.000
Na 0.000 2.216 3.886
B 2.216 0.000 3.886
B 0.000 0.000 7.772
Mo 1.108 -0.412 5.829
Mo 1.804 1.108 1.943
Mo 1.108 2.628 -1.943
Mo 0.412 1.108 9.715
```